No. 1
## ErTm4Zr (PBE-GGA)

Data for an optimized crystal structure of ErTm4Zr.

The structure in extended XYZ format:
```
6
Lattice="5.0463 0.0000 1.4838 2.3641 4.5155 1.2828 0.0608 0.4408 9.1163" Properties=species:S:1:pos:R:3 pbc="T T T"
Tm 0.9148 0.8197 6.2117
Tm 6.5563 4.1366 5.6712
Tm 2.7831 2.0568 9.1808
Tm 4.6881 2.8995 2.7021
Er 3.7356 2.4782 5.9414
Zr 0.0000 0.0000 0.0000
```

Values from the calculation:
Energy relative to the lowest polymorph listed for this composition: 616 meV/atom
DOS(E_F): 7.7 states/eV/cell
E_tot: -4.4187 eV/atom
Space group: R-3m, No. 166

***

No. 2
## RbP4N7 (PBE-GGA)

Data for an optimized crystal structure of RbP4N7.

The structure in extended XYZ format:
```
48
Lattice="-4.5455 1.1316 0.6438 -3.1560 -11.9668 -1.2487 1.0689 -1.3097 9.8478" Properties=species:S:1:pos:R:3 pbc="T T T"
P -3.5368 -1.2064 4.3937
P -0.1152 -0.8530 8.4453
P -3.4457 -4.8121 8.9734
P -0.8909 -0.1381 3.5556
P -2.4679 -6.1178 2.9316
P -3.9445 -10.2054 -0.0301
P -4.9404 -5.3122 1.4216
P -2.3382 -8.0658 5.1489
P -2.6881 -1.9395 9.2731
P -3.1870 -7.3328 0.2696
P -5.7417 -12.0067 5.6873
P -4.2944 -4.0790 4.0940
P -1.6922 -6.8327 7.8214
P -6.5175 -11.2918 0.7976
P -4.1647 -6.0271 6.3113
P -3.0958 -10.9384 4.8493
N -3.8222 -10.9917 3.4171
N -2.6009 -0.2336 3.2844
N -4.5802 -6.7130 0.7770
N -1.7088 -8.2008 8.6279
N -5.2837 -7.0596 5.8762
N -3.7604 -4.7554 5.4499
N -3.4846 -3.2316 8.8007
N -1.1457 -1.9939 8.8247
N -6.1903 -10.4976 5.5175
N -3.5794 -2.6862 3.8145
N -2.8722 -7.3894 3.7931
N -0.4423 -1.6472 3.7254
N -1.3489 -5.0852 3.3667
N -2.7353 -6.9955 6.4715
N -2.6589 -11.8031 8.2519
N -3.0532 -9.4586 5.4285
N -3.3078 -11.5697 0.8564
N -3.1481 -8.9132 0.4423
N -3.8973 -5.1494 2.7715
N -4.9238 -3.9440 0.6151
N -2.0113 -6.6540 1.3694
N -2.0525 -5.4319 8.4660
N -2.8104 -1.1531 5.8258
N -5.4869 -10.1509 0.4183
N -3.9738 -0.3417 0.9910
N -4.0317 -11.9113 5.9585
N -4.6213 -5.4909 7.8736
N -3.3249 -0.5751 8.3866
Rb -4.7756 -9.2655 7.9326
Rb -1.1447 -3.5785 6.2090
Rb -5.4879 -8.5664 3.0339
Rb -1.8571 -2.8794 1.3104
```

Values from the calculation:
Energy relative to the lowest polymorph listed for this composition: 0 meV/atom
DOS(E_F): 0.0 states/eV/cell
Energy relative to the elements, uncorrected: -0.486 eV/atom
E_tot: -7.2261 eV/atom
Space group: Pnma, No. 62

***

No. 3
## PrSm4Se7 (PBE-GGA)

Data for an optimized crystal structure of PrSm4Se7.

The structure in extended XYZ format:
```
12
Lattice="4.0721 0.0000 0.0000 -2.0361 6.6771 -1.7488 0.0000 0.0325 12.4579" Properties=species:S:1:pos:R:3 pbc="T T T"
Se 2.0361 3.2095 3.4990
Se 2.0361 6.1261 1.0816
Se 2.0361 2.1407 0.0671
Se 0.0000 0.6009 9.6604
Se 0.0000 3.4246 7.2053
Se 0.0000 4.5869 10.6474
Se 2.0361 0.0366 6.1846
Pr 2.0361 5.1919 5.8589
Sm 2.0361 2.7056 9.4328
Sm 0.0000 0.0081 0.0151
Sm 0.0000 4.0131 1.2868
Sm 0.0000 1.5205 4.8356
```

Values from the calculation:
DOS(E_F): 1.7 states/eV/cell
Energy relative to the elements, uncorrected: -1.871 eV/atom
E_tot: -5.8753 eV/atom
Space group: Cm, No. 8

***

No. 4
## Ca3Zn4Au4 (PBE-GGA)

Data for an optimized crystal structure of Ca3Zn4Au4.

The structure in extended XYZ format:
```
11
Lattice="3.8294 -0.0024 0.0042 -0.0023 4.4652 -0.0066 1.9091 2.1874 13.9315" Properties=species:S:1:pos:R:3 pbc="T T T"
Zn 3.8244 2.1951 11.2490
Zn 1.9063 2.2120 6.7953
Zn 3.8300 4.4384 7.1339
Zn 1.9119 4.4553 2.6800
Au 3.8169 2.2033 8.6603
Au 1.9043 2.2206 1.4047
Au 3.8320 4.4298 12.5243
Au 1.9193 4.4471 5.2688
Ca 1.9074 4.4329 9.8793
Ca 0.0001 0.0001 0.0001
Ca 3.8289 2.2174 4.0497
```

Values from the calculation:
DOS(E_F): 5.2 states/eV/cell
E_tot: -2.7550 eV/atom
Space group: P-1, No. 2

***

No. 5
## FeRe2Ru (PBE-GGA)

Data for an optimized crystal structure of FeRe2Ru.

The structure in extended XYZ format:
```
4
Lattice="8.8840 0.0050 0.0029 8.4701 2.6803 0.0029 8.4701 1.3106 2.3380" Properties=species:S:1:pos:R:3 pbc="T T T"
Fe 19.3682 2.9969 1.7579
Re 0.0852 0.0132 0.0077
Re 12.8269 1.9848 1.1642
Ru 6.4561 0.9990 0.5860
```

Values from the calculation:
Energy relative to the lowest polymorph listed for this composition: 129 meV/atom
DOS(E_F): 3.5 states/eV/cell
E_tot: -10.5439 eV/atom
Space group: R-3m, No. 166

***

No. 6
## Pm2TlCd8 (PBE-GGA)

Data for an optimized crystal structure of Pm2TlCd8.

The structure in extended XYZ format:
```
11
Lattice="4.7165 0.0000 0.0000 0.0000 6.9464 0.0513 -2.3582 -2.8727 8.5722" Properties=species:S:1:pos:R:3 pbc="T T T"
Cd 0.0000 -1.1659 6.1173
Cd 2.3582 5.2397 2.5062
Cd 2.3582 2.3091 1.8848
Cd 2.3582 -0.7299 8.1173
Cd 0.0000 0.3091 2.5883
Cd 0.0000 1.7647 6.7388
Cd 0.0000 4.8036 0.5062
Cd 2.3582 3.7647 6.0352
Pm 0.0000 3.5266 3.7740
Pm 2.3582 0.5471 4.8495
Tl 2.3582 0.0000 0.0000
```

Values from the calculation:
DOS(E_F): 6.2 states/eV/cell
E_tot: -1.8979 eV/atom
Space group: C2/m, No. 12

***

No. 7
## Tb3TlPb2 (PBE-GGA)

Data for an optimized crystal structure of Tb3TlPb2.

The structure in extended XYZ format:
```
24
Lattice="-2.4234 -0.4548 4.0647 4.9540 -10.3474 1.7957 9.5598 5.6762 6.3347" Properties=species:S:1:pos:R:3 pbc="T T T"
Tl 1.6636 -0.8008 2.2923
Tl 4.6869 -5.1581 6.3874
Tl 7.4036 0.0321 5.8077
Tl 10.4268 -4.3252 9.9027
Tb 1.5432 -3.8550 1.8788
Tb 4.9163 -2.4503 4.0470
Tb 4.1040 -9.0850 5.6005
Tb 10.1074 -4.6941 6.8908
Tb 7.9865 3.9590 6.5946
Tb 1.9830 -0.4319 5.3042
Tb 7.4897 0.8881 8.7350
Tb 7.0312 -6.7489 7.6070
Tb 10.5472 -1.2710 10.3163
Tb 4.6007 -6.0141 3.4600
Tb 7.1741 -2.6757 8.1481
Tb 5.0593 1.6229 4.5880
Pb 7.1984 -8.1906 4.7652
Pb 2.1581 -4.0469 5.0041
Pb 13.0456 -3.0785 8.8233
Pb 9.9324 -1.0791 7.1910
Pb 4.8920 3.0646 7.4298
Pb -0.9552 -2.0475 3.3717
Pb 7.4427 -4.1976 5.3577
Pb 4.6478 -0.9284 6.8374
```

Values from the calculation:
Energy relative to the lowest polymorph listed for this composition: 43 meV/atom
DOS(E_F): 16.8 states/eV/cell
E_tot: -4.3079 eV/atom
Space group: Pnma, No. 62

***

No. 8
## AcPrZnN2 (PBE-GGA)

Data for an optimized crystal structure of AcPrZnN2.

The structure in extended XYZ format:
```
10
Lattice="-0.5499 -4.6541 2.4459 3.9544 1.4913 3.7267 -5.0130 2.7979 4.1967" Properties=species:S:1:pos:R:3 pbc="T T T"
N 0.8087 -0.8467 1.5311
N -1.9628 -1.6901 4.8078
N 0.3542 1.3251 5.5615
N -2.4172 0.4817 8.8382
Zn 0.0000 0.0000 0.0000
Zn -2.5065 1.3989 2.0983
Pr -4.0348 -0.2291 4.3707
Pr -1.5282 -1.6271 2.2719
Ac 0.1742 -3.2072 5.3575
Ac -1.7828 2.8422 5.0118
```

Values from the calculation:
DOS(E_F): 6.0 states/eV/cell
Energy relative to the elements, uncorrected: -0.510 eV/atom
E_tot: -5.8727 eV/atom
Space group: Pccm, No. 49

***

No. 9
## Na2Cu2BiSe4 (PBE-GGA)

Data for an optimized crystal structure of Na2Cu2BiSe4.

The structure in extended XYZ format:
```
9
Lattice="3.9648 0.0000 0.0000 -1.9824 7.6466 -0.2995 0.0000 -2.9429 7.0557" Properties=species:S:1:pos:R:3 pbc="T T T"
Na 0.0000 0.3255 3.8589
Na 1.9824 4.3783 2.8974
Se 1.9824 2.0500 5.4458
Se 0.0000 6.5884 1.5634
Se 1.9824 -1.8846 5.1928
Se 0.0000 2.6537 1.3105
Cu 1.9824 0.0218 6.9021
Cu 0.0000 4.6819 -0.1458
Bi 0.0000 0.0000 0.0000
```

Values from the calculation:
DOS(E_F): 5.9 states/eV/cell
Energy relative to the elements, uncorrected: -0.537 eV/atom
E_tot: -3.7207 eV/atom
Space group: C2/m, No. 12

***

No. 10
## Sm3Dy3Th2 (PBE-GGA)

Data for an optimized crystal structure of Sm3Dy3Th2.

The structure in extended XYZ format:
```
8
Lattice="5.9372 0.9355 1.5064 0.8543 6.0015 1.3064 1.8547 2.1985 8.2980" Properties=species:S:1:pos:R:3 pbc="T T T"
Dy 2.6760 5.5229 7.1924
Dy 0.0000 0.0000 0.0000
Dy 5.9703 3.6126 3.9184
Th 2.6206 2.8304 4.8717
Th 6.0256 6.3050 6.2391
Sm 5.2242 2.9943 7.2627
Sm 3.3958 3.4685 1.4064
Sm 3.4221 6.1411 3.8481
```

Values from the calculation:
Energy relative to the lowest polymorph listed for this composition: 11 meV/atom
DOS(E_F): 11.6 states/eV/cell
E_tot: -5.3106 eV/atom
Space group: P-1, No. 2

***

No. 11
## Cu2PtCl (PBE-GGA)

Data for an optimized crystal structure of Cu2PtCl.

The structure in extended XYZ format:
```
4
Lattice="4.6247 0.0000 0.0000 0.0000 2.8632 -0.0238 0.0000 0.0310 4.6227" Properties=species:S:1:pos:R:3 pbc="T T T"
Cu 2.3124 0.0117 1.7314
Cu 0.0000 2.8896 4.0238
Pt 0.0000 1.4430 1.7232
Cl 2.3124 0.0280 4.0427
```

Values from the calculation:
Energy relative to the lowest polymorph listed for this composition: 155 meV/atom
DOS(E_F): 1.1 states/eV/cell
Energy relative to the elements, uncorrected: 0.112 eV/atom
E_tot: -3.9084 eV/atom
Space group: Pm, No. 6

***

No. 12
## BaTc4Te (PBE-GGA)

Data for an optimized crystal structure of BaTc4Te.

The structure in extended XYZ format:
```
6
Lattice="5.4189 -0.8687 0.4785 2.0238 -2.3297 4.5635 1.9933 -5.1326 -0.1790" Properties=species:S:1:pos:R:3 pbc="T T T"
Tc 3.5614 -3.1443 1.8354
Tc 4.5536 -4.2865 4.0729
Tc 4.5387 -5.6608 1.7476
Tc 6.2183 -3.5702 2.0700
Te 7.0770 -6.2482 3.6472
Ba 0.0000 0.0000 0.0000
```

Values from the calculation:
DOS(E_F): 8.6 states/eV/cell
Energy relative to the elements, uncorrected: 0.765 eV/atom
E_tot: -6.9897 eV/atom
Space group: F-43m, No. 216

***

Which value of DOS(E_F) does entry 11 give? 1.1 states/eV/cell

***

What is the E_tot in the fifth record? -10.5439 eV/atom